Record 1
Zn3SeF | Alexandria via LeMat-Bulk | PBE | relaxed; E above lowest polymorph = 40 meV per atom; symmetry = P1, No. 1; raw formation energy = -74 kJ per mole of atoms
1.0
4.4798 0.0084 0.0011
0.7939 6.1447 -0.0077
1.3000 2.6118 7.2571
F Zn Se
2 6 2
direct
0.0696 0.9656 0.2936
0.7056 0.9027 0.0661
0.8462 0.8584 0.8271
0.1473 0.6154 0.3942
0.2496 0.2306 0.3460
0.4947 0.5971 0.6250
0.7020 0.4462 0.3428
0.7318 0.1915 0.1305
0.9257 0.4595 0.8169
0.3582 0.9881 0.6707

Record 2
PaGaNiAu | Alexandria via LeMat-Bulk | PBE | relaxed; symmetry = F-43m, No. 216; E_form = -0.31 eV per atom
1.0
-2.0353 -2.2413 -3.6327
1.5313 -4.2832 -1.2933
-2.6922 -3.8087 0.7803
Pa Au Ga Ni
1 1 1 1
direct
0.5000 0.5000 0.5000
0.7500 0.7500 0.7500
0.0000 0.0000 0.0000
0.2500 0.2500 0.2500

The following DOS(E_F) values (in states/eV per cell) correspond, in order, to the records above: 0.98; 4.32.